# 1
{"formula": "LiSm2PaSb4", "functional": "PBE", "state": "relaxed", "rho_g_cm3": 7.1, "e_form_raw_ev_per_atom": -0.743, "dos_at_fermi_per_ev_atom": 0.4070, "volume_a3_per_cell": 241.5, "lattice": [[4.4414, 0.0000, 0.0000], [0.0000, 7.5029, 0.1292], [0.0000, -2.6260, 7.2007]], "species": ["Sm", "Sm", "Li", "Sb", "Sb", "Sb", "Sb", "Pa"], "fractional_positions": [[0.5000, 0.0000, 0.5000], [0.0000, 0.5000, 0.5000], [0.5000, 0.5000, 0.0000], [0.0000, 0.7505, 0.2380], [0.5000, 0.2487, 0.2377], [0.0000, 0.2495, 0.7620], [0.5000, 0.7513, 0.7623], [0.0000, 0.0000, 0.0000]]}

***

# 2
{"formula": "LiTb2PaSb4", "functional": "PBE", "state": "relaxed", "rho_g_cm3": 7.4, "e_form_raw_ev_per_atom": -0.736, "dos_at_fermi_per_ev_atom": 0.3820, "volume_a3_per_cell": 235.3, "lattice": [[-3.0693, 2.1807, 2.2809], [-4.5241, -0.2118, -5.8854], [-1.2169, -6.1796, 4.2709]], "species": ["Pa", "Sb", "Sb", "Sb", "Sb", "Tb", "Tb", "Li"], "fractional_positions": [[0.0000, 0.0000, 0.0000], [0.5000, 0.7485, 0.7581], [0.0000, 0.7511, 0.2424], [0.0000, 0.2489, 0.7576], [0.5000, 0.2515, 0.2419], [0.0000, 0.5000, 0.5000], [0.5000, 0.0000, 0.5000], [0.5000, 0.5000, 0.0000]]}

***

# 3
{"formula": "LiPaTcSb", "functional": "PBE", "state": "relaxed", "rho_g_cm3": 10.1, "e_form_raw_ev_per_atom": -0.250, "dos_at_fermi_per_ev_atom": 0.5140, "volume_a3_per_cell": 75.5, "lattice": [[-2.9798, 3.4023, 1.4303], [-2.6228, -0.6306, 3.9017], [0.9503, 2.4891, 3.9245]], "species": ["Sb", "Li", "Tc", "Pa"], "fractional_positions": [[0.2500, 0.2500, 0.2500], [0.0000, 0.0000, 0.0000], [0.5000, 0.5000, 0.5000], [0.7500, 0.7500, 0.7500]]}

***

# 4
{"formula": "Li2PaSbTe4", "functional": "PBE", "state": "relaxed", "rho_g_cm3": 6.2, "e_form_raw_ev_per_atom": -0.608, "dos_at_fermi_per_ev_atom": 0.8543, "volume_a3_per_cell": 233.3, "lattice": [[-3.9861, -1.2185, 1.0504], [-1.3378, -1.9416, -7.3295], [2.7576, -5.9093, 3.6100]], "species": ["Te", "Te", "Te", "Te", "Li", "Li", "Sb", "Pa"], "fractional_positions": [[0.5000, 0.2545, 0.2592], [0.0000, 0.2458, 0.7378], [0.0000, 0.7542, 0.2622], [0.5000, 0.7455, 0.7408], [0.5000, 0.0000, 0.5000], [0.0000, 0.5000, 0.5000], [0.0000, 0.0000, 0.0000], [0.5000, 0.5000, 0.0000]]}

***

# 5
{"formula": "LiY2PaSb4", "functional": "PBE", "state": "relaxed", "rho_g_cm3": 6.4, "e_form_raw_ev_per_atom": -0.747, "dos_at_fermi_per_ev_atom": 0.3507, "volume_a3_per_cell": 234.3, "lattice": [[-0.4148, 4.1389, -1.4334], [-7.1376, -0.0176, 2.0144], [4.1937, 2.4416, 5.8365]], "species": ["Y", "Y", "Sb", "Sb", "Sb", "Sb", "Pa", "Li"], "fractional_positions": [[0.5000, 0.0000, 0.5000], [0.0000, 0.5000, 0.5000], [0.5000, 0.2520, 0.2422], [0.0000, 0.7511, 0.2429], [0.5000, 0.7480, 0.7578], [0.0000, 0.2489, 0.7571], [0.0000, 0.0000, 0.0000], [0.5000, 0.5000, 0.0000]]}

***

# 6
{"formula": "LiScPa", "functional": "PBE", "state": "relaxed", "rho_g_cm3": 6.6, "e_form_kj_per_mol_fu": 52, "polymorph_energy_ev_per_atom": 0.000, "dos_at_fermi_per_ev_atom": 1.7571, "volume_a3_per_cell": 71.1, "lattice": [[-1.1082, -1.6276, 2.4674], [2.0775, -1.3347, -1.9668], [6.1977, 2.8117, 4.6384]], "species": ["Pa", "Li", "Sc"], "fractional_positions": [[0.6667, 0.3333, 0.3397], [0.0000, 0.0000, 0.9938], [0.3333, 0.6667, 0.6664]]}

***

# 7
{"formula": "LiScPa", "functional": "PBE", "state": "relaxed", "rho_g_cm3": 5.5, "e_form_kj_per_mol_fu": 139, "polymorph_energy_ev_per_atom": 0.301, "dos_at_fermi_per_ev_atom": 2.1685, "volume_a3_per_cell": 171.0, "lattice": [[-4.2488, 2.4965, 0.9439], [-3.7127, -2.2332, 2.5306], [0.3772, 2.6949, 7.9058]], "species": ["Pa", "Pa", "Sc", "Sc", "Li", "Li"], "fractional_positions": [[0.1604, 0.1604, 0.5188], [0.8396, 0.8396, 0.4812], [0.5636, 0.5636, 0.3091], [0.4364, 0.4364, 0.6909], [0.7067, 0.7067, 0.8798], [0.2933, 0.2933, 0.1202]]}

***

# 8
{"formula": "Li2ScPaSe4", "functional": "PBE", "state": "relaxed", "rho_g_cm3": 5.7, "e_form_raw_ev_per_atom": -1.419, "dos_at_fermi_per_ev_atom": 0.8277, "volume_a3_per_cell": 176.4, "lattice": [[-3.0683, 2.1676, -1.1152], [-0.2208, -3.3773, -5.9570], [-4.0093, -3.3095, 4.5982]], "species": ["Li", "Li", "Se", "Se", "Se", "Se", "Pa", "Sc"], "fractional_positions": [[0.5000, 0.0000, 0.5000], [0.0000, 0.5000, 0.5000], [0.0000, 0.2345, 0.7399], [0.5000, 0.2399, 0.2481], [0.0000, 0.7655, 0.2601], [0.5000, 0.7601, 0.7519], [0.5000, 0.5000, 0.0000], [0.0000, 0.0000, 0.0000]]}

***

# 9
{"formula": "Li2Sc3PaSe6", "functional": "PBE", "state": "relaxed", "rho_g_cm3": 5.6, "e_form_raw_ev_per_atom": -1.508, "dos_at_fermi_per_ev_atom": 0.6271, "volume_a3_per_cell": 254.9, "lattice": [[-5.7380, 3.5495, 0.3171], [-0.2242, -6.7221, -0.6222], [2.0030, 0.4788, 6.5227]], "species": ["Sc", "Sc", "Sc", "Se", "Se", "Se", "Se", "Se", "Se", "Li", "Li", "Pa"], "fractional_positions": [[0.1658, 0.8342, 0.5000], [0.8342, 0.1658, 0.5000], [0.5000, 0.5000, 0.5000], [0.5726, 0.9153, 0.7456], [0.0847, 0.4274, 0.2544], [0.2582, 0.2582, 0.7458], [0.4274, 0.0847, 0.2544], [0.7418, 0.7418, 0.2542], [0.9153, 0.5726, 0.7456], [0.3322, 0.6678, 0.0000], [0.6678, 0.3322, 0.0000], [0.0000, 0.0000, 0.0000]]}

***

# 10
{"formula": "Li2Sc2PaSe6", "functional": "PBE", "state": "relaxed", "rho_g_cm3": 5.1, "e_form_raw_ev_per_atom": -1.512, "dos_at_fermi_per_ev_atom": 0.5123, "volume_a3_per_cell": 260.8, "lattice": [[-6.2962, 1.9348, -1.7716], [1.4982, -6.6265, 0.6068], [-0.0903, 1.7627, 6.6407]], "species": ["Pa", "Se", "Se", "Se", "Se", "Se", "Se", "Li", "Li", "Sc", "Sc"], "fractional_positions": [[0.0000, 0.0000, 0.5000], [0.9219, 0.5778, 0.2558], [0.2593, 0.2593, 0.2554], [0.7407, 0.7407, 0.7446], [0.4222, 0.0781, 0.7442], [0.5778, 0.9219, 0.2558], [0.0781, 0.4222, 0.7442], [0.1666, 0.8334, 0.0000], [0.8334, 0.1666, 0.0000], [0.6663, 0.3337, 0.5000], [0.3337, 0.6663, 0.5000]]}

***

# 11
{"formula": "LiSc3Pa3Se8", "functional": "PBE", "state": "relaxed", "rho_g_cm3": 7.0, "e_form_raw_ev_per_atom": -1.439, "dos_at_fermi_per_ev_atom": 0.9711, "volume_a3_per_cell": 350.4, "lattice": [[7.8445, -0.0001, 0.0000], [-3.9223, 6.7932, -0.0241], [0.0000, -4.5058, 6.5913]], "species": ["Se", "Se", "Se", "Se", "Se", "Se", "Se", "Se", "Pa", "Pa", "Pa", "Sc", "Sc", "Sc", "Li"], "fractional_positions": [[0.7509, 0.0117, 0.2625], [0.7427, 0.4855, 0.7282], [0.2491, 0.4982, 0.7374], [0.7509, 0.5018, 0.2626], [0.2491, 0.9883, 0.7375], [0.7392, 0.9883, 0.7375], [0.2608, 0.0117, 0.2625], [0.2573, 0.5145, 0.2718], [0.0000, 0.5000, 0.0000], [0.0000, 0.0000, 0.0000], [0.5000, 0.5000, 0.0000], [0.5000, 0.0000, 0.5000], [0.5000, 0.5000, 0.5000], [0.0000, 0.5000, 0.5000], [0.0000, 0.0000, 0.5000]]}

***

# 12
{"formula": "LiScPaSe4", "functional": "PBE", "state": "relaxed", "rho_g_cm3": 5.3, "e_form_raw_ev_per_atom": -1.470, "dos_at_fermi_per_ev_atom": 0.8899, "volume_a3_per_cell": 376.1, "lattice": [[-3.3051, 1.1618, 7.5951], [3.4108, -7.0379, -2.0447], [4.5814, 6.3961, 1.0152]], "species": ["Sc", "Sc", "Se", "Se", "Se", "Se", "Se", "Se", "Se", "Se", "Li", "Li", "Pa", "Pa"], "fractional_positions": [[0.5000, 0.0000, 0.0000], [0.5000, 0.0000, 0.5000], [0.7276, 0.0020, 0.2510], [0.7424, 0.4847, 0.2476], [0.7255, 0.9980, 0.7490], [0.2576, 0.5153, 0.7524], [0.2576, 0.5153, 0.2628], [0.2745, 0.0020, 0.2510], [0.7424, 0.4847, 0.7372], [0.2724, 0.9980, 0.7490], [0.1115, 0.2230, 0.8615], [0.8885, 0.7770, 0.1385], [0.0000, 0.5000, 0.5000], [0.5000, 0.5000, 0.5000]]}

***

# 13
{"formula": "Li3ScPa3Se8", "functional": "PBE", "state": "relaxed", "rho_g_cm3": 6.3, "e_form_raw_ev_per_atom": -1.366, "dos_at_fermi_per_ev_atom": 1.0916, "volume_a3_per_cell": 366.1, "lattice": [[-5.3107, -5.8122, -1.3410], [4.6171, -0.2341, 6.5119], [-5.8876, 5.5011, -0.5267]], "species": ["Pa", "Pa", "Pa", "Li", "Li", "Li", "Sc", "Se", "Se", "Se", "Se", "Se", "Se", "Se", "Se"], "fractional_positions": [[0.5000, 0.0000, 0.5000], [0.0000, 0.5000, 0.5000], [0.5000, 0.5000, 0.5000], [0.5000, 0.5000, 0.0000], [0.0000, 0.0000, 0.0000], [0.0000, 0.5000, 0.0000], [0.0000, 0.0000, 0.5000], [0.7559, 0.5118, 0.7676], [0.2371, 0.9942, 0.2515], [0.7572, 0.5143, 0.2515], [0.2428, 0.0058, 0.7485], [0.2428, 0.4857, 0.7485], [0.2441, 0.4882, 0.2324], [0.7572, 0.9942, 0.2515], [0.7629, 0.0058, 0.7485]]}

***

# 14
{"formula": "Li2Sc2PaTe6", "functional": "PBE", "state": "relaxed", "rho_g_cm3": 5.7, "e_form_raw_ev_per_atom": -1.067, "dos_at_fermi_per_ev_atom": 0.5503, "volume_a3_per_cell": 322.8, "lattice": [[7.2646, -0.0215, 0.0867], [-3.6093, 6.3046, 0.0867], [-1.2966, -2.2288, 6.9992]], "species": ["Li", "Li", "Te", "Te", "Te", "Te", "Te", "Te", "Pa", "Sc", "Sc"], "fractional_positions": [[0.8372, 0.1628, 0.0000], [0.1628, 0.8372, 0.0000], [0.9180, 0.5754, 0.2515], [0.4246, 0.0820, 0.7485], [0.0820, 0.4246, 0.7485], [0.7378, 0.7378, 0.7476], [0.5754, 0.9180, 0.2515], [0.2622, 0.2622, 0.2524], [0.0000, 0.0000, 0.5000], [0.6670, 0.3330, 0.5000], [0.3330, 0.6670, 0.5000]]}

***

# 15
{"formula": "Li3ScPa2Te6", "functional": "PBE", "state": "relaxed", "rho_g_cm3": 6.5, "e_form_raw_ev_per_atom": -0.945, "dos_at_fermi_per_ev_atom": 0.9780, "volume_a3_per_cell": 332.4, "lattice": [[7.2973, -0.0055, -0.0015], [-3.6517, 6.3180, -0.0015], [-1.2174, -2.1080, 7.2142]], "species": ["Te", "Te", "Te", "Te", "Te", "Te", "Sc", "Li", "Li", "Li", "Pa", "Pa"], "fractional_positions": [[0.9132, 0.5923, 0.7408], [0.7641, 0.7641, 0.2564], [0.5923, 0.9132, 0.7408], [0.2359, 0.2359, 0.7436], [0.0868, 0.4077, 0.2592], [0.4077, 0.0868, 0.2592], [0.0000, 0.0000, 0.0000], [0.8310, 0.1690, 0.5000], [0.5000, 0.5000, 0.5000], [0.1690, 0.8310, 0.5000], [0.6675, 0.3325, 0.0000], [0.3325, 0.6675, 0.0000]]}

***

# 16
{"formula": "Li2ScPaTe4", "functional": "PBE", "state": "relaxed", "rho_g_cm3": 6.1, "e_form_raw_ev_per_atom": -0.998, "dos_at_fermi_per_ev_atom": 0.9109, "volume_a3_per_cell": 218.7, "lattice": [[4.1823, 0.0000, 0.0000], [0.0000, 7.3119, 0.1543], [0.0000, -2.5314, 7.0968]], "species": ["Pa", "Li", "Li", "Sc", "Te", "Te", "Te", "Te"], "fractional_positions": [[0.5000, 0.5000, 0.0000], [0.0000, 0.5000, 0.5000], [0.5000, 0.0000, 0.5000], [0.0000, 0.0000, 0.0000], [0.0000, 0.7650, 0.2602], [0.5000, 0.7606, 0.7502], [0.0000, 0.2350, 0.7398], [0.5000, 0.2394, 0.2498]]}

***

# 17
{"formula": "Li4Sc3PaTe8", "functional": "PBE", "state": "relaxed", "rho_g_cm3": 5.5, "e_form_raw_ev_per_atom": -1.085, "dos_at_fermi_per_ev_atom": 0.6262, "volume_a3_per_cell": 427.9, "lattice": [[8.3715, 0.0000, 0.0000], [0.0000, 8.5484, 0.1178], [-4.1857, -4.1824, 5.9221]], "species": ["Te", "Te", "Te", "Te", "Te", "Te", "Te", "Te", "Sc", "Sc", "Sc", "Li", "Li", "Li", "Li", "Pa"], "fractional_positions": [[0.2596, 0.2478, 0.0036], [0.7476, 0.7426, 0.4952], [0.2560, 0.7522, 0.9964], [0.2524, 0.2574, 0.5048], [0.7440, 0.2478, 0.4881], [0.7440, 0.2478, 0.0036], [0.7404, 0.7522, 0.9964], [0.2560, 0.7522, 0.5119], [0.0000, 0.5000, 0.5000], [0.5000, 0.5000, 0.0000], [0.5000, 0.5000, 0.5000], [0.5000, 0.0000, 0.0000], [0.0000, 0.0000, 0.5000], [0.0000, 0.0000, 0.0000], [0.5000, 0.0000, 0.5000], [0.0000, 0.5000, 0.0000]]}

***

# 18
{"formula": "Li3Pa4Se8", "functional": "PBE", "state": "relaxed", "rho_g_cm3": 7.2, "e_form_raw_ev_per_atom": -1.284, "dos_at_fermi_per_ev_atom": 1.3641, "volume_a3_per_cell": 366.0, "lattice": [[7.0367, -0.1180, -3.8306], [-4.5039, 6.6036, -0.2006], [-0.1518, 0.1449, 7.9931]], "species": ["Pa", "Pa", "Pa", "Pa", "Se", "Se", "Se", "Se", "Se", "Se", "Se", "Se", "Li", "Li", "Li"], "fractional_positions": [[0.0000, 0.0000, 0.0000], [0.0000, 0.5000, 0.0000], [0.0000, 0.0000, 0.5000], [0.5000, 0.0000, 0.0000], [0.9885, 0.7343, 0.7343], [0.4936, 0.2470, 0.2470], [0.0000, 0.2566, 0.7434], [0.0115, 0.2657, 0.2657], [0.5064, 0.7530, 0.7530], [0.5000, 0.2570, 0.7430], [0.5000, 0.7430, 0.2570], [0.0000, 0.7434, 0.2566], [0.5000, 0.0000, 0.5000], [0.5000, 0.5000, 0.0000], [0.5000, 0.5000, 0.5000]]}

***

# 19
{"formula": "Li3Pa2Se4", "functional": "PBE", "state": "relaxed", "rho_g_cm3": 6.6, "e_form_raw_ev_per_atom": -1.175, "dos_at_fermi_per_ev_atom": 0.6738, "volume_a3_per_cell": 199.7, "lattice": [[3.6493, -0.7858, 0.8961], [0.6450, 4.0116, 0.8928], [-1.2355, -0.4969, 12.7445]], "species": ["Se", "Se", "Se", "Se", "Li", "Li", "Li", "Pa", "Pa"], "fractional_positions": [[0.5788, 0.0814, 0.8456], [0.1899, 0.6922, 0.6216], [0.4212, 0.9186, 0.1544], [0.8101, 0.3078, 0.3784], [0.0000, 0.0000, 0.0000], [0.9081, 0.4097, 0.1781], [0.0919, 0.5903, 0.8219], [0.6940, 0.1963, 0.6133], [0.3060, 0.8037, 0.3867]]}

***

# 20
{"formula": "Li2PaSe3", "functional": "PBE", "state": "relaxed", "rho_g_cm3": 5.8, "e_form_raw_ev_per_atom": -1.316, "polymorph_energy_ev_per_atom": 0.000, "dos_at_fermi_per_ev_atom": 0.9894, "volume_a3_per_cell": 275.0, "lattice": [[4.0554, 0.0000, 0.0000], [0.0000, 5.6865, 0.0000], [0.0000, 0.0000, 11.9228]], "species": ["Li", "Li", "Li", "Li", "Se", "Se", "Se", "Se", "Se", "Se", "Pa", "Pa"], "fractional_positions": [[0.5000, 0.7501, 0.8372], [0.5000, 0.7501, 0.1628], [0.0000, 0.2499, 0.3372], [0.0000, 0.2499, 0.6628], [0.5000, 0.2491, 0.5000], [0.5000, 0.2504, 0.8323], [0.0000, 0.7509, 0.0000], [0.5000, 0.2504, 0.1677], [0.0000, 0.7496, 0.6677], [0.0000, 0.7496, 0.3323], [0.5000, 0.7490, 0.5000], [0.0000, 0.2510, 0.0000]]}

***

# 21
{"formula": "Li2PaSe4", "functional": "PBE", "state": "relaxed", "rho_g_cm3": 5.3, "e_form_raw_ev_per_atom": -1.099, "polymorph_energy_ev_per_atom": 0.047, "dos_at_fermi_per_ev_atom": 0.5120, "volume_a3_per_cell": 354.1, "lattice": [[-3.8474, -7.6331, -1.1450], [3.3328, -5.8766, -4.5021], [3.4697, -6.9672, 2.3086]], "species": ["Pa", "Pa", "Se", "Se", "Se", "Se", "Se", "Se", "Se", "Se", "Li", "Li", "Li", "Li"], "fractional_positions": [[0.0000, 0.5000, 0.0000], [0.5000, 0.5000, 0.0000], [0.2581, 0.2379, 0.2458], [0.7419, 0.7621, 0.7542], [0.7307, 0.2635, 0.7635], [0.2422, 0.2635, 0.7635], [0.2581, 0.7458, 0.7379], [0.7578, 0.7365, 0.2365], [0.2693, 0.7365, 0.2365], [0.7419, 0.2542, 0.2621], [0.5000, 0.0000, 0.0000], [0.0919, 0.1581, 0.6581], [0.5000, 0.5000, 0.5000], [0.9081, 0.8419, 0.3419]]}